The following is a DFT calculation (PBEsol) of an optimized crystal structure of Na3SbP2O9.

a b c (Å): 7.0191 9.2996 12.4357
angles (deg): 90.00 90.00 90.00
With the nearest neighbours (Å) after each atom.
Atoms (fractional coordinates):
Na 0.1226 0.1056 0.1579  4 O 2.28-2.55
Na 0.1824 0.2564 0.7582  4 O 2.32-2.57
Na 0.2428 0.5840 0.5154  4 O 2.19-2.44
Na 0.2572 0.4160 0.0154  4 O 2.19-2.44
Na 0.3176 0.7436 0.2582  4 O 2.32-2.57
Na 0.3774 0.8944 0.6579  4 O 2.28-2.55
Na 0.6226 0.3944 0.8421  4 O 2.28-2.55
Na 0.6824 0.2436 0.2418  4 O 2.32-2.57
Na 0.7428 0.9160 0.4846  4 O 2.19-2.44
Na 0.7572 0.0840 0.9846  4 O 2.19-2.44
Na 0.8176 0.7564 0.7418  4 O 2.32-2.57
Na 0.8774 0.6056 0.3421  4 O 2.28-2.55
Sb 0.0227 0.7463 0.0041  6 O 1.96-2.01
Sb 0.4773 0.2537 0.5041  6 O 1.96-2.01
Sb 0.5227 0.7537 0.9959  6 O 1.96-2.01
Sb 0.9773 0.2463 0.4959  6 O 1.96-2.01
P 0.2264 0.3734 0.2983  4 O 1.50-1.60
P 0.2355 0.9690 0.4220  4 O 1.50-1.61
P 0.2645 0.0310 0.9220  4 O 1.50-1.61
P 0.2736 0.6266 0.7983  4 O 1.50-1.60
P 0.7264 0.1266 0.7017  4 O 1.50-1.60
P 0.7355 0.5310 0.5780  4 O 1.50-1.61
P 0.7645 0.4690 0.0780  4 O 1.50-1.61
P 0.7736 0.8734 0.2017  4 O 1.50-1.60
O 0.0453 0.2870 0.3433  1 P 1.60
O 0.0482 0.0404 0.4724  1 P 1.60
O 0.0897 0.6978 0.8528  1 P 1.60
O 0.0942 0.9548 0.9877  1 P 1.61
O 0.2079 0.5297 0.3311  1 P 1.52
O 0.2233 0.3072 0.5566  2 Sb 1.96-1.97
O 0.2401 0.3363 0.1813  1 P 1.50
O 0.2404 0.8140 0.4575  1 P 1.51
O 0.2475 0.0083 0.8026  1 P 1.50
O 0.2525 0.9917 0.3026  1 P 1.50
O 0.2596 0.1860 0.9575  1 P 1.51
O 0.2599 0.6637 0.6813  1 P 1.50
O 0.2767 0.6928 0.0566  2 Sb 1.96-1.97
O 0.2921 0.4703 0.8311  1 P 1.52
O 0.4058 0.0452 0.4877  1 P 1.61
O 0.4103 0.3022 0.3528  1 P 1.60
O 0.4518 0.9596 0.9724  1 P 1.60
O 0.4547 0.7130 0.8433  1 P 1.60
O 0.5453 0.2130 0.6567  1 P 1.60
O 0.5482 0.4596 0.5276  1 P 1.60
O 0.5897 0.8022 0.1472  1 P 1.60
O 0.5942 0.5452 0.0123  1 P 1.61
O 0.7079 0.9703 0.6689  1 P 1.52
O 0.7233 0.1928 0.4434  2 Sb 1.96-1.97
O 0.7401 0.1637 0.8187  1 P 1.50
O 0.7404 0.6860 0.5425  1 P 1.51
O 0.7475 0.4917 0.1974  1 P 1.50
O 0.7525 0.5083 0.6974  1 P 1.50
O 0.7596 0.3140 0.0425  1 P 1.51
O 0.7599 0.8363 0.3187  1 P 1.50
O 0.7767 0.8072 0.9434  2 Sb 1.96-1.97
O 0.7921 0.0297 0.1689  1 P 1.52
O 0.9058 0.4548 0.5123  1 P 1.61
O 0.9103 0.1978 0.6472  1 P 1.60
O 0.9518 0.5404 0.0276  1 P 1.60
O 0.9547 0.7870 0.1567  1 P 1.60

## Properties
DOS(E_F)	0.00	states/eV/f.u.
DFT total energy	-98.590	eV/f.u.